Entry from Alexandria: crystalline Y4Er8Tm at its relaxed geometry (PBE).

Calculated values
DFT total energy, eV/atom: -4.912
DOS at the Fermi energy, states/eV/f.u.: 19.073
Spin magnetization, μB/cell: 0.00
Calculated formation energy, kcal/mol of atoms: 5.28
Crystal system: trigonal

Lattice parameters (Å, degrees): 7.2643 7.2643 9.9250 90.00 111.47 120.00
Fractional coordinates of all 13 atoms:
Y 0.0000 0.0000 0.0000
Y 0.0000 0.5000 0.0000
Y 0.5000 0.5000 0.0000
Y 0.5000 0.0000 0.0000
Er 0.5685 0.7842 0.3527
Er 0.4315 0.2158 0.6473
Er 0.5001 0.2501 0.3051
Er 0.9450 0.1950 0.6949
Er 0.4999 0.7499 0.6949
Er 0.9450 0.7499 0.6949
Er 0.0550 0.2501 0.3051
Er 0.0550 0.8050 0.3051
Tm 0.0000 0.5000 0.5000

---

Entry from Alexandria: crystalline Y4Er6Tm at its relaxed geometry (PBE).

Calculated values
Polymorph energy (0 for the lowest one), eV/atom: 0.000
DFT total energy, eV/atom: -4.950
DOS at the Fermi energy, states/eV/f.u.: 13.713
Spin magnetization, μB/cell: 0.00
Calculated formation energy, kcal/mol of atoms: 6.82
Crystal system: tetragonal

Lattice parameters (Å, degrees): 9.6469 9.6469 9.6469 57.05 140.53 140.53
Fractional coordinates of all 11 atoms:
Y 0.0000 0.6392 0.0131
Y 0.3738 0.3608 0.3608
Y 0.0000 0.0131 0.6392
Y 0.6262 0.9869 0.9869
Er 0.0000 0.8078 0.4502
Er 0.0000 0.4502 0.8078
Er 0.3575 0.5498 0.5498
Er 0.5000 0.5000 0.0000
Er 0.6425 0.1922 0.1922
Er 0.5000 0.0000 0.5000
Tm 0.0000 0.0000 0.0000

---

Entry from Alexandria: crystalline YEr7Tm2 at its relaxed geometry (PBE).

Calculated values
Polymorph energy (0 for the lowest one), eV/atom: 0.657
DFT total energy, eV/atom: -4.026
DOS at the Fermi energy, states/eV/f.u.: 13.818
Spin magnetization, μB/cell: 0.00
Calculated formation energy, kcal/mol of atoms: 16.34
Crystal system: orthorhombic

Lattice parameters (Å, degrees): 5.3309 9.3307 9.3307 124.67 90.00 90.00
Fractional coordinates of all 10 atoms:
Y 0.0000 0.0000 0.0000
Er 0.0000 0.7974 0.2026
Er 0.0000 0.2026 0.7974
Er 0.5000 0.0655 0.2894
Er 0.5000 0.9345 0.7106
Er 0.5000 0.2894 0.0655
Er 0.5000 0.7106 0.9345
Er 0.5000 0.5000 0.5000
Tm 0.5000 0.7020 0.2980
Tm 0.5000 0.2980 0.7020